Nd2Zn4GaPt3 | GGA-PBE | relaxed

The energy of formation comes out at -705 meV/atom. The space-group type is P-4m2, No. 115. The final energy is -4.2835 eV per atom.

a b c (Å): 4.0607 4.0607 11.6532
angles (deg): 90.00 90.00 90.00
With the nearest neighbours (Å) after each atom.
Positions (direct):
Pt  0.0000  0.5000  0.1429  5 Zn 2.56-2.63
Pt  0.0000  0.0000  0.5000  4 Zn 2.59, 4 Ga 2.87
Pt  0.5000  0.0000  0.8571  5 Zn 2.56-2.63
Zn  0.0000  0.5000  0.3625  3 Pt 2.56-2.59, 2 Ga 2.59
Zn  0.5000  0.5000  0.0000  4 Pt 2.63, 4 Zn 2.87
Zn  0.0000  0.0000  0.0000  4 Pt 2.63, 4 Zn 2.87
Zn  0.5000  0.0000  0.6375  3 Pt 2.56-2.59, 2 Ga 2.59
Nd  0.0000  0.5000  0.7544  4 Pt 3.11, 4 Zn 3.18
Nd  0.5000  0.0000  0.2456  4 Pt 3.11, 4 Zn 3.18
Ga  0.5000  0.5000  0.5000  4 Zn 2.59, 4 Pt 2.87